Entry from Alexandria: BaY2Cu after structural relaxation (PBE).

```
BaY2Cu
1.0
-3.852 0.262 -4.276
-2.844 -0.675 6.303
-0.979 3.367 0.890
Y Cu Ba
2 1 1
Cartesian
-2.415 1.815 -1.693
0.000 0.000 0.000
-3.348 -0.206 1.014
-1.911 1.346 3.596
```

- Symmetry: C2/m
- Size of the total moment: 0.0003 μB per atom
- E_tot: -4.341 eV per atom
- Offset from the most stable computed form: 357.9 meV per atom